Entry 1:
# NaSc2Si, optimized geometry, DFT PBE
data_NaSc2Si
_cell_length_a 7.873
_cell_length_b 7.873
_cell_length_c 6.228
_cell_angle_alpha 90.00
_cell_angle_beta 90.00
_cell_angle_gamma 90.00
_symmetry_space_group_name_H-M 'I -4 2 d'
_symmetry_Int_Tables_number 122
_symmetry_space_group_name_Hall 'I -4 2bw'
loop_
_atom_site_label
_atom_site_fract_x
_atom_site_fract_y
_atom_site_fract_z
Na1 0.000 0.000 0.000
Sc1 0.204 0.750 0.625
Si1 0.000 0.000 0.500
# ΔE_f (raw), eV per atom: 0.17
# Volume, Å³ per atom: 24.1
# Final energy, eV/atom: -4.681


Entry 2:
# NaScSi4, optimized geometry, DFT PBE
data_NaScSi4
_cell_length_a 7.319
_cell_length_b 7.319
_cell_length_c 7.319
_cell_angle_alpha 90.00
_cell_angle_beta 90.00
_cell_angle_gamma 90.00
_symmetry_space_group_name_H-M 'F -4 3 m'
_symmetry_Int_Tables_number 216
_symmetry_space_group_name_Hall 'F -4 2 3'
loop_
_atom_site_label
_atom_site_fract_x
_atom_site_fract_y
_atom_site_fract_z
Na1 0.000 0.000 0.000
Sc1 0.250 0.250 0.250
Si1 0.126 0.126 0.626
# ΔE_f (raw), eV per atom: -0.12
# Volume, Å³ per atom: 16.3
# Final energy, eV/atom: -5.012


Entry 3:
# Na2ScSi, optimized geometry, DFT PBE
data_Na2ScSi
_cell_length_a 3.990
_cell_length_b 3.990
_cell_length_c 23.525
_cell_angle_alpha 90.00
_cell_angle_beta 90.00
_cell_angle_gamma 90.00
_symmetry_space_group_name_H-M 'I -4 2 d'
_symmetry_Int_Tables_number 122
_symmetry_space_group_name_Hall 'I -4 2bw'
loop_
_atom_site_label
_atom_site_fract_x
_atom_site_fract_y
_atom_site_fract_z
Na1 0.229 0.250 0.125
Sc1 0.000 0.000 0.500
Si1 0.000 0.000 0.000
# ΔE_f (raw), eV per atom: 0.12
# Volume, Å³ per atom: 23.4
# Final energy, eV/atom: -3.479


Entry 4:
# NaSr2ScSi, optimized geometry, DFT PBE
data_NaSr2ScSi
_cell_length_a 5.927
_cell_length_b 5.927
_cell_length_c 5.037
_cell_angle_alpha 90.00
_cell_angle_beta 90.00
_cell_angle_gamma 90.00
_symmetry_space_group_name_H-M 'P 4/m m m'
_symmetry_Int_Tables_number 123
_symmetry_space_group_name_Hall '-P 4 2'
loop_
_atom_site_label
_atom_site_fract_x
_atom_site_fract_y
_atom_site_fract_z
Na1 0.000 0.000 0.000
Sr1 0.000 0.500 0.000
Sc1 0.500 0.500 0.500
Si1 0.000 0.000 0.500
# ΔE_f (raw), eV per atom: 0.68
# Volume, Å³ per atom: 35.4
# Final energy, eV/atom: -2.604